(1)
## Mg3ZnCl8 (PBE)

Data for a relaxed structure of Mg3ZnCl8.

* crystal system: monoclinic
* calculated total energy: -40.77 eV for the cell shown
* total moment: 0.000 μB per formula unit

a = 7.2981 Å, b = 7.3003 Å, c = 7.8915 Å
α = 118.07°, β = 90.00°, γ = 119.99°
Fractional coordinates of all 12 atoms:
1 Mg 0.5000 0.0000 0.0000
2 Mg 0.5000 0.5000 0.0000
3 Mg 0.0000 0.5000 0.0000
4 Zn 0.0000 0.0000 0.0000
5 Cl 0.2628 0.5255 0.7922
6 Cl 0.7372 0.4744 0.2078
7 Cl 0.2600 0.0243 0.7923
8 Cl 0.7643 0.0243 0.7923
9 Cl 0.7646 0.5292 0.7924
10 Cl 0.2354 0.4708 0.2076
11 Cl 0.2357 0.9757 0.2077
12 Cl 0.7400 0.9757 0.2077

(2)
## MgZnCl2 (PBE)

Data for a relaxed structure of MgZnCl2.

* crystal system: cubic
* total moment: 0.000 μB per formula unit
* relative energy among the computed polymorphs: 862 meV/atom

a = 4.9656 Å, b = 4.9656 Å, c = 4.9656 Å
α = 60.00°, β = 60.00°, γ = 60.00°
Fractional coordinates of all 4 atoms:
1 Cl 0.0000 0.0000 0.0000
2 Cl 0.2500 0.2500 0.2500
3 Mg 0.5000 0.5000 0.5000
4 Zn 0.7500 0.7500 0.7500

(3)
## MgZnCl2 (PBE)

Data for a relaxed structure of MgZnCl2.

* crystal system: cubic
* total moment: 0.000 μB per formula unit
* relative energy among the computed polymorphs: 634 meV/atom

a = 4.9060 Å, b = 4.9060 Å, c = 4.9060 Å
α = 60.00°, β = 60.00°, γ = 60.00°
Fractional coordinates of all 4 atoms:
1 Zn 0.5000 0.5000 0.5000
2 Mg 0.0000 0.0000 0.0000
3 Cl 0.2500 0.2500 0.2500
4 Cl 0.7500 0.7500 0.7500

(4)
## MgZn3Cl (PBE)

Data for a relaxed structure of MgZn3Cl.

* crystal system: cubic
* total moment: 0.000 μB per formula unit
* relative energy among the computed polymorphs: 231 meV/atom

a = 5.0653 Å, b = 5.0653 Å, c = 5.0653 Å
α = 90.00°, β = 90.00°, γ = 90.00°
Fractional coordinates of all 5 atoms:
1 Zn 0.0000 0.5000 0.0000
2 Zn 0.0000 0.0000 0.5000
3 Zn 0.5000 0.0000 0.0000
4 Mg 0.5000 0.5000 0.5000
5 Cl 0.0000 0.0000 0.0000

(5)
## MgZnCl2 (PBE)

Data for a relaxed structure of MgZnCl2.

* crystal system: tetragonal
* total moment: 0.000 μB per formula unit
* relative energy among the computed polymorphs: 408 meV/atom

a = 3.2622 Å, b = 3.2622 Å, c = 8.3605 Å
α = 90.00°, β = 90.00°, γ = 90.00°
Fractional coordinates of all 4 atoms:
1 Cl 0.0000 0.0000 0.9160
2 Cl 0.5000 0.5000 0.3317
3 Mg 0.0000 0.0000 0.4963
4 Zn 0.5000 0.5000 0.7560

(6)
## Mg4ZnCl (PBE)

Data for a relaxed structure of Mg4ZnCl.

* crystal system: cubic
* calculated total energy: -9.15 eV for the cell shown
* total moment: 0.000 μB per formula unit

a = 5.8587 Å, b = 5.8587 Å, c = 5.8587 Å
α = 60.00°, β = 60.00°, γ = 60.00°
Fractional coordinates of all 6 atoms:
1 Mg 0.8713 0.3762 0.3762
2 Mg 0.3762 0.3762 0.8713
3 Mg 0.3762 0.8713 0.3762
4 Mg 0.3762 0.3762 0.3762
5 Zn 0.7500 0.7500 0.7500
6 Cl 0.0000 0.0000 0.0000